This record from the Alexandria database describes a geometry-optimized Ag2PPd6 structure. The functional is PBE. Values from VASP.

Quantum ESPRESSO input file:
```
&SYSTEM
  ibrav = 0, nat = 9, ntyp = 3
/
ATOMIC_SPECIES
Ag 107.87 Ag.upf
P 30.97 P.upf
Pd 106.42 Pd.upf
ATOMIC_POSITIONS angstrom
Ag 2.955 0.000 2.113
Ag 0.000 2.955 2.113
P 0.000 0.000 0.000
Pd 0.000 0.000 2.230
Pd 1.569 1.569 0.000
Pd 1.386 -1.386 4.225
Pd -1.386 1.386 4.225
Pd 1.386 1.386 4.225
Pd 0.000 0.000 6.221
CELL_PARAMETERS angstrom
-2.955 2.955 4.225
2.955 -2.955 4.225
2.955 2.955 -4.225
```

Its density of states at the Fermi level is 3.452 states/eV/cell. The theoretical density is 9.961 g cm⁻³. The formation energy comes out at -0.23 eV per atom. The space group is No. 139. The calculation puts the magnetization at 0.00 μB per cell.